Entry 1:
TbPuSe2, relaxed, DFT PBE-GGA; total magnetization = 11.8 μB/cell; total DFT energy (no corrections) = -8.156 eV/atom
1.0
-1.7110 -6.0482 3.3683
-4.2167 1.4700 5.5599
-0.3466 1.8866 -6.8684
Se Tb Pu
4 2 2
Cartesian
-5.2439 -0.6095 3.8074 Se
-2.2833 1.6771 -0.6518 Se
-4.4442 -3.4324 6.6937 Se
-1.4836 -1.1458 2.2345 Se
-3.7636 0.5338 1.5778 Tb
-2.9639 -2.2891 4.4641 Tb
-2.5107 -3.2253 0.4820 Pu
0.0000 0.0000 0.0000 Pu

Entry 2:
Ba2TaIrS6, relaxed, DFT PBE-GGA; total magnetization = 0.0 μB/cell; total DFT energy (no corrections) = -6.029 eV/atom
1.0
-5.6919 -0.5498 -3.7155
2.4988 -5.5907 -3.0008
-3.5794 -5.8040 0.0839
S Ir Ta Ba
6 1 1 2
Cartesian
-0.8059 -1.5497 -1.6951 S
-3.6247 -1.8220 -3.5351 S
-2.5785 -4.4241 -1.6535 S
-2.3872 -4.5908 -5.0212 S
0.4317 -4.3185 -3.1812 S
-4.1939 -7.5204 -4.9789 S
-1.5965 -3.0703 -3.3582 Ir
0.0000 0.0000 0.0000 Ta
-5.4339 -4.7120 -3.4949 Ba
-1.3385 -7.2325 -3.1375 Ba

What did the first record say?
TbPuSe2, relaxed, DFT PBE-GGA; total magnetization = 11.8 μB/cell; total DFT energy (no corrections) = -8.156 eV/atom
1.0
-1.7110 -6.0482 3.3683
-4.2167 1.4700 5.5599
-0.3466 1.8866 -6.8684
Se Tb Pu
4 2 2
Cartesian
-5.2439 -0.6095 3.8074 Se
-2.2833 1.6771 -0.6518 Se
-4.4442 -3.4324 6.6937 Se
-1.4836 -1.1458 2.2345 Se
-3.7636 0.5338 1.5778 Tb
-2.9639 -2.2891 4.4641 Tb
-2.5107 -3.2253 0.4820 Pu
0.0000 0.0000 0.0000 Pu